Entry 1:
VASP calculation (PBE) on an optimized crystal structure of MgReIr.

Cell lengths 4.761, 4.789, 4.963 Å; angles 70.15, 99.79, 120.15 degrees
Fractional positions:
Re  0.409  0.215  0.476
Re  0.744  0.880  0.485
Ir  0.091  0.554  0.484
Ir  0.475  0.736  0.985
Mg  0.126  0.063  0.981
Mg  0.797  0.399  0.982

M_tot = 0.00 Bohr magnetons per cell
DOS at the Fermi energy = 4.87 states/eV per cell
Final energy = -45.54 eV/cell
DFT formation energy = 44.5 meV per atom
Relative energy among the computed polymorphs = 0.218 eV/atom


Entry 2:
VASP calculation (PBE) on an optimized crystal structure of Gd2FeBr.

Cell lengths 3.410, 3.410, 8.037 Å; angles 90.00, 90.00, 90.00 degrees
Fractional positions:
Br  0.500  0.500  0.500
Fe  0.500  0.500  0.000
Gd  0.000  0.000  0.796
Gd  0.000  0.000  0.204

M_tot = 13.66 Bohr magnetons per cell
DOS at the Fermi energy = 2.62 states/eV per cell
Final energy = -40.32 eV/cell


Entry 3:
VASP calculation (PBE) on an optimized crystal structure of BaTi2V.

Cell lengths 3.355, 3.355, 16.629 Å; angles 94.94, 94.78, 90.07 degrees
Fractional positions:
V  0.734  0.734  0.961
Ti  0.799  0.801  0.121
Ba  0.078  0.075  0.615
Ti  0.662  0.659  0.788
V  0.266  0.266  0.039
Ba  0.922  0.925  0.385
Ti  0.338  0.341  0.212
Ti  0.201  0.199  0.879

M_tot = 0.00 Bohr magnetons per cell
DOS at the Fermi energy = 11.36 states/eV per cell
Final energy = -50.84 eV/cell
DFT formation energy = 352.3 meV per atom
Relative energy among the computed polymorphs = 0.078 eV/atom


Entry 4:
VASP calculation (PBE) on an optimized crystal structure of CrCo2GeN.

Cell lengths 3.754, 3.754, 3.841 Å; angles 90.00, 90.00, 90.00 degrees
Fractional positions:
Co  0.000  0.500  0.000
Co  0.500  0.000  0.000
N  0.000  0.000  0.000
Cr  0.000  0.000  0.500
Ge  0.500  0.500  0.500

M_tot = 0.81 Bohr magnetons per cell
DOS at the Fermi energy = 2.43 states/eV per cell
Final energy = -37.45 eV/cell


Entry 5:
VASP calculation (PBE) on an optimized crystal structure of KDy2ReO8.

Cell lengths 5.393, 5.259, 7.069 Å; angles 73.23, 96.13, 104.59 degrees
Fractional positions:
O  0.547  0.643  0.512
O  0.915  0.238  0.762
Dy  0.441  0.655  0.186
O  0.085  0.762  0.238
K  0.000  0.000  0.500
Re  0.000  0.000  0.000
O  0.265  0.927  0.880
O  0.735  0.073  0.120
Dy  0.559  0.345  0.814
O  0.745  0.698  0.945
O  0.453  0.357  0.488
O  0.255  0.302  0.055

M_tot = 0.04 Bohr magnetons per cell
Final energy = -89.78 eV/cell


Entry 6:
VASP calculation (PBE) on an optimized crystal structure of Nd2HfScSb4.

Cell lengths 4.320, 7.474, 7.496 Å; angles 109.37, 90.00, 90.00 degrees
Fractional positions:
Hf  0.000  0.000  0.000
Sc  0.500  0.500  0.000
Sb  0.500  0.240  0.224
Nd  0.000  0.500  0.500
Sb  0.500  0.760  0.776
Nd  0.500  0.000  0.500
Sb  0.000  0.257  0.776
Sb  0.000  0.743  0.224

M_tot = 0.00 Bohr magnetons per cell
DOS at the Fermi energy = 1.58 states/eV per cell
Final energy = -49.76 eV/cell


Entry 7:
VASP calculation (PBE) on an optimized crystal structure of Na3LaCo.

Cell lengths 5.341, 5.341, 5.341 Å; angles 90.00, 90.00, 90.00 degrees
Fractional positions:
Na  0.000  0.000  0.500
Na  0.500  0.000  0.000
La  0.500  0.500  0.500
Na  0.000  0.500  0.000
Co  0.000  0.000  0.000

M_tot = 1.57 Bohr magnetons per cell
DOS at the Fermi energy = 5.22 states/eV per cell
Final energy = -11.96 eV/cell
DFT formation energy = 805.9 meV per atom


Entry 8:
VASP calculation (PBE) on an optimized crystal structure of YMo2Rh2.

Cell lengths 7.868, 7.868, 2.812 Å; angles 90.00, 90.00, 90.00 degrees
Fractional positions:
Mo  0.116  0.384  0.000
Mo  0.616  0.116  0.000
Rh  0.174  0.674  0.500
Rh  0.674  0.826  0.500
Rh  0.326  0.174  0.500
Y  0.500  0.500  0.000
Rh  0.826  0.326  0.500
Y  0.000  0.000  0.000
Mo  0.884  0.616  0.000
Mo  0.384  0.884  0.000

M_tot = 0.07 Bohr magnetons per cell
DOS at the Fermi energy = 11.70 states/eV per cell
Final energy = -86.43 eV/cell
DFT formation energy = -76.8 meV per atom
Relative energy among the computed polymorphs = 0.022 eV/atom


Entry 9:
VASP calculation (PBE) on an optimized crystal structure of CeCuPdRh.

Cell lengths 3.864, 4.051, 4.364 Å; angles 90.00, 90.00, 90.00 degrees
Fractional positions:
Cu  0.000  0.000  0.000
Rh  0.500  0.000  0.500
Pd  0.500  0.500  0.000
Ce  0.000  0.500  0.500

M_tot = 0.29 Bohr magnetons per cell
DOS at the Fermi energy = 3.23 states/eV per cell
Final energy = -24.92 eV/cell
DFT formation energy = -587.0 meV per atom
Relative energy among the computed polymorphs = 0.000 eV/atom


Entry 10:
VASP calculation (PBE) on an optimized crystal structure of BeSi2.

Cell lengths 3.585, 4.110, 5.728 Å; angles 90.00, 90.00, 90.00 degrees
Fractional positions:
Si  0.000  0.215  0.642
Si  0.500  0.715  0.858
Si  0.500  0.285  0.142
Si  0.000  0.785  0.358
Be  0.500  0.500  0.500
Be  0.000  0.000  0.000

M_tot = 0.00 Bohr magnetons per cell
DOS at the Fermi energy = 1.48 states/eV per cell
Final energy = -26.59 eV/cell
Relative energy among the computed polymorphs = 0.168 eV/atom


Entry 11:
VASP calculation (PBE) on an optimized crystal structure of TbPmPr4Sm2.

Cell lengths 5.207, 5.186, 11.556 Å; angles 63.23, 90.00, 90.00 degrees
Fractional positions:
Pr  0.500  0.748  0.251
Sm  0.000  0.000  0.000
Pm  0.500  0.500  0.000
Tb  0.000  0.500  0.500
Pr  0.000  0.248  0.252
Pr  0.500  0.252  0.749
Sm  0.500  0.000  0.500
Pr  0.000  0.752  0.748

M_tot = 0.00 Bohr magnetons per cell
DOS at the Fermi energy = 11.35 states/eV per cell
Final energy = -37.84 eV/cell
DFT formation energy = 12.5 meV per atom


Entry 12:
VASP calculation (PBE) on an optimized crystal structure of RbSNF2.

Cell lengths 4.755, 4.755, 3.371 Å; angles 90.00, 90.00, 90.00 degrees
Fractional positions:
Rb  0.500  0.500  0.500
S  0.000  0.000  0.000
F  0.000  0.500  0.000
F  0.500  0.000  0.000
N  0.000  0.000  0.500

M_tot = 0.00 Bohr magnetons per cell
DOS at the Fermi energy = 0.82 states/eV per cell
Final energy = -21.16 eV/cell
Relative energy among the computed polymorphs = 0.000 eV/atom


> Which value of final energy does entry 2 give?

-40.32 eV/cell


> Which of these has the highest M_tot?

Gd2FeBr